No. 1
{"formula": "CaHgB2", "functional": "PBE", "state": "optimized geometry", "lattice_angstrom": [[4.245, 0.000, 0.000], [0.000, 4.245, 0.000], [2.122, 2.122, 7.795]], "species": ["Ca", "Ca", "B", "B", "B", "B", "Hg", "Hg"], "fractional_positions": [[0.500, 0.500, 0.000], [0.250, 0.750, 0.500], [0.875, 0.125, 0.250], [0.875, 0.625, 0.250], [0.375, 0.125, 0.750], [0.875, 0.125, 0.750], [0.000, 0.000, 0.000], [0.750, 0.250, 0.500]], "magmom_total_mub_per_fu": 0.0, "ef_mev_per_atom": 722, "vol_a3_per_cell": 140.44}

=====

No. 2
{"formula": "CaHg3B", "functional": "PBE", "state": "optimized geometry", "lattice_angstrom": [[6.044, 0.000, 0.000], [0.000, 6.044, 0.000], [0.000, 0.000, 6.044]], "species": ["Ca", "B", "Hg", "Hg", "Hg"], "fractional_positions": [[0.000, 0.000, 0.000], [0.500, 0.500, 0.500], [0.000, 0.500, 0.000], [0.000, 0.000, 0.500], [0.500, 0.000, 0.000]], "magmom_total_mub_per_fu": 1.9, "de_polymorph_mev_per_atom": 965, "ef_mev_per_atom": 1234, "vol_a3_per_cell": 220.81}

=====

No. 3
{"formula": "CaHg3B", "functional": "PBE", "state": "optimized geometry", "lattice_angstrom": [[-4.615, -1.277, -0.320], [0.986, -2.579, -3.926], [0.873, -3.841, 2.743]], "species": ["Ca", "B", "Hg", "Hg", "Hg"], "fractional_positions": [[0.500, 0.500, 0.500], [0.000, 0.000, 0.000], [0.000, 0.500, 0.000], [0.000, 0.000, 0.500], [0.500, 0.000, 0.000]], "magmom_total_mub_per_fu": 0.0, "de_polymorph_mev_per_atom": 0, "ef_mev_per_atom": 269, "vol_a3_per_cell": 110.57}

=====

No. 4
{"formula": "CaHgBI2", "functional": "PBE", "state": "optimized geometry", "lattice_angstrom": [[-1.398, -0.161, -5.830], [-1.690, -3.852, 0.512], [-5.319, 2.494, 1.206]], "species": ["I", "I", "Ca", "B", "Hg"], "fractional_positions": [[0.000, 0.000, 0.500], [0.500, 0.000, 0.000], [0.500, 0.500, 0.500], [0.000, 0.000, 0.000], [0.000, 0.500, 0.000]], "magmom_total_mub_per_fu": 0.0, "vol_a3_per_cell": 152.41, "e_form_raw_ev_per_atom": 0.049}

=====

Electronic total energy list, top to bottom, in eV per atom: -3.193; -0.683; -1.648; -2.367